A relaxed CsRb2TcCl8 crystal. Source: the Alexandria database, functional PBE.

Properties
Density of states at the Fermi level in states/eV per cell: 2.3
Energy relative to the elements, uncorrected in eV per atom: -1.30
Total DFT energy (no corrections) in eV per atom: -3.631

a b c (Å): 5.848 7.059 9.691
angles (deg): 89.85 74.67 89.75
Space group P-1 (No. 2)
Symmetry-distinct sites (fractional):
Cs: 0.000 0.000 0.000 (multiplicity 1)
Rb: 0.348 0.499 0.311 (multiplicity 2)
Tc: 0.000 0.000 0.500 (multiplicity 1)
Cl: 0.174 0.237 0.613 (multiplicity 2)
Cl: 0.174 0.760 0.612 (multiplicity 2)
Cl: 0.242 0.500 0.997 (multiplicity 2)
Cl: 0.328 0.000 0.292 (multiplicity 2)

---

A relaxed AlCd2TeO6 crystal. Source: the Alexandria database, functional PBE.

Properties
Density of states at the Fermi level in states/eV per cell: 1.7
Energy relative to the elements, uncorrected in eV per atom: -1.26
Total DFT energy (no corrections) in eV per atom: -5.109

a b c (Å): 5.179 5.179 5.012
angles (deg): 90.00 90.00 90.00
Space group P4mm (No. 99)
Symmetry-distinct sites (fractional):
Al: 0.000 0.000 0.000 (multiplicity 1)
Cd: 0.000 0.500 0.446 (multiplicity 2)
Te: 0.500 0.500 0.003 (multiplicity 1)
O: 0.000 0.000 0.646 (multiplicity 1)
O: 0.244 0.244 0.134 (multiplicity 4)
O: 0.500 0.500 0.613 (multiplicity 1)

---

A relaxed LaCuSb3 crystal. Source: the Alexandria database, functional PBE.

Properties
Density of states at the Fermi level in states/eV per cell: 2.9
Energy relative to the elements, uncorrected in eV per atom: -0.22
Total DFT energy (no corrections) in eV per atom: -4.501

a b c (Å): 5.159 5.159 5.159
angles (deg): 90.00 90.00 90.00
Space group Pm-3m (No. 221)
Symmetry-distinct sites (fractional):
La: 0.000 0.000 0.000 (multiplicity 1)
Cu: 0.500 0.500 0.500 (multiplicity 1)
Sb: 0.000 0.500 0.500 (multiplicity 3)

---

A relaxed Te3AsPb crystal. Source: the Alexandria database, functional PBE.

Properties
Density of states at the Fermi level in states/eV per cell: 2.5
Energy relative to the elements, uncorrected in eV per atom: 0.20
E above lowest polymorph in eV per atom: 0.302
Total DFT energy (no corrections) in eV per atom: -3.352

a b c (Å): 5.471 5.471 5.471
angles (deg): 90.00 90.00 90.00
Space group Pm-3m (No. 221)
Symmetry-distinct sites (fractional):
Te: 0.000 0.000 0.500 (multiplicity 3)
As: 0.000 0.000 0.000 (multiplicity 1)
Pb: 0.500 0.500 0.500 (multiplicity 1)

---

A relaxed Er3Cd3Pd2 crystal. Source: the Alexandria database, functional PBE.

Properties
Density of states at the Fermi level in states/eV per cell: 4.6
DFT formation energy in meV/atom: -637
Total DFT energy (no corrections) in eV per atom: -3.990

a b c (Å): 7.5673 7.5673 3.6857
angles (deg): 90.00 90.00 120.00
Space group P-62m (No. 189)
Symmetry-distinct sites (fractional):
Er: 0.0000 0.5815 0.0000 (multiplicity 3)
Cd: 0.0000 0.2292 0.5000 (multiplicity 3)
Pd: 0.3333 0.6667 0.5000 (multiplicity 2)

---

A relaxed PtBr3 crystal. Source: the Alexandria database, functional PBE.

Properties
Density of states at the Fermi level in states/eV per cell: 8.3
Energy relative to the elements, uncorrected in eV per atom: 0.67
Total DFT energy (no corrections) in eV per atom: -2.091

a b c (Å): 5.802 5.802 5.802
angles (deg): 90.00 90.00 90.00
Space group Im-3m (No. 229)
Symmetry-distinct sites (fractional):
Pt: 0.000 0.000 0.000 (multiplicity 2)
Br: 0.000 0.000 0.500 (multiplicity 6)

---

A relaxed LiY2Cd crystal. Source: the Alexandria database, functional PBE.

Properties
Density of states at the Fermi level in states/eV per cell: 4.1
DFT formation energy in meV/atom: -149
E above lowest polymorph in eV per atom: 0.000
Total DFT energy (no corrections) in eV per atom: -4.089

a b c (Å): 5.237 5.237 3.785
angles (deg): 90.00 90.00 90.00
Space group P4/mmm (No. 123)
Symmetry-distinct sites (fractional):
Li: 0.000 0.000 0.000 (multiplicity 1)
Y: 0.000 0.500 0.500 (multiplicity 2)
Cd: 0.500 0.500 0.000 (multiplicity 1)

---

A relaxed Tb2PmPd crystal. Source: the Alexandria database, functional PBE.

Properties
Density of states at the Fermi level in states/eV per cell: 5.3
DFT formation energy in meV/atom: -400
E above lowest polymorph in eV per atom: 0.051
Total DFT energy (no corrections) in eV per atom: -5.201

a b c (Å): 3.603 3.603 8.569
angles (deg): 90.00 90.00 90.00
Space group P4/mmm (No. 123)
Symmetry-distinct sites (fractional):
Tb: 0.000 0.000 0.195 (multiplicity 2)
Pm: 0.500 0.500 0.500 (multiplicity 1)
Pd: 0.500 0.500 0.000 (multiplicity 1)

---

A relaxed Tl2PtW crystal. Source: the Alexandria database, functional PBE.

Properties
Density of states at the Fermi level in states/eV per cell: 6.1
DFT formation energy in meV/atom: 706
E above lowest polymorph in eV per atom: 0.365
Total DFT energy (no corrections) in eV per atom: -5.226

a b c (Å): 3.213 5.181 9.495
angles (deg): 90.00 90.00 90.00
Space group Cmmm (No. 65)
Symmetry-distinct sites (fractional):
Tl: 0.000 0.000 0.243 (multiplicity 4)
Pt: 0.000 0.500 0.000 (multiplicity 2)
W: 0.000 0.500 0.500 (multiplicity 2)

---

A relaxed KInMo2 crystal. Source: the Alexandria database, functional PBE.

Properties
Density of states at the Fermi level in states/eV per cell: 6.5
DFT formation energy in meV/atom: 592
Total DFT energy (no corrections) in eV per atom: -5.783

a b c (Å): 3.309 5.070 10.589
angles (deg): 90.00 90.00 90.00
Space group Cmm2 (No. 35)
Symmetry-distinct sites (fractional):
K: 0.000 0.000 0.000 (multiplicity 2)
In: 0.000 0.500 0.706 (multiplicity 2)
Mo: 0.000 0.000 0.468 (multiplicity 2)
Mo: 0.000 0.500 0.294 (multiplicity 2)

---

A relaxed InRuPb crystal. Source: the Alexandria database, functional PBE.

Properties
Density of states at the Fermi level in states/eV per cell: 8.8
DFT formation energy in meV/atom: 255
E above lowest polymorph in eV per atom: 0.125
Total DFT energy (no corrections) in eV per atom: -4.986

a b c (Å): 6.516 6.516 6.516
angles (deg): 90.00 90.00 90.00
Space group F-43m (No. 216)
Symmetry-distinct sites (fractional):
In: 0.000 0.000 0.000 (multiplicity 4)
Ru: 0.250 0.250 0.750 (multiplicity 4)
Pb: 0.000 0.000 0.500 (multiplicity 4)

---

A relaxed Y2Al4SiPt3 crystal. Source: the Alexandria database, functional PBE.

Properties
Density of states at the Fermi level in states/eV per cell: 6.8
Energy relative to the elements, uncorrected in eV per atom: -0.97
Total DFT energy (no corrections) in eV per atom: -6.117

a b c (Å): 4.157 4.157 10.676
angles (deg): 90.00 90.00 90.00
Space group P-4m2 (No. 115)
Symmetry-distinct sites (fractional):
Y: 0.000 0.500 0.248 (multiplicity 2)
Al: 0.000 0.000 0.500 (multiplicity 1)
Al: 0.000 0.500 0.863 (multiplicity 2)
Al: 0.500 0.500 0.500 (multiplicity 1)
Si: 0.500 0.500 0.000 (multiplicity 1)
Pt: 0.000 0.000 0.000 (multiplicity 1)
Pt: 0.000 0.500 0.635 (multiplicity 2)

---

A relaxed Co2ReNi2 crystal. Source: the Alexandria database, functional PBE.

Properties
Density of states at the Fermi level in states/eV per cell: 12.8
DFT formation energy in meV/atom: 228
E above lowest polymorph in eV per atom: 0.213
Total DFT energy (no corrections) in eV per atom: -7.416

a b c (Å): 6.764 6.764 2.571
angles (deg): 90.00 90.00 90.00
Space group P4/mbm (No. 127)
Symmetry-distinct sites (fractional):
Co: 0.121 0.379 0.000 (multiplicity 4)
Re: 0.000 0.000 0.000 (multiplicity 2)
Ni: 0.177 0.677 0.500 (multiplicity 4)

---

A relaxed CuH3F crystal. Source: the Alexandria database, functional PBE.

Properties
Density of states at the Fermi level in states/eV per cell: 2.6
E above lowest polymorph in eV per atom: 0.650
Total DFT energy (no corrections) in eV per atom: -2.242

a b c (Å): 3.355 3.355 3.355
angles (deg): 90.00 90.00 90.00
Space group Pm-3m (No. 221)
Symmetry-distinct sites (fractional):
Cu: 0.000 0.000 0.000 (multiplicity 1)
H: 0.000 0.500 0.500 (multiplicity 3)
F: 0.500 0.500 0.500 (multiplicity 1)

---

A relaxed KAgGe2 crystal. Source: the Alexandria database, functional PBE.

Properties
Density of states at the Fermi level in states/eV per cell: 6.1
DFT formation energy in meV/atom: 122
E above lowest polymorph in eV per atom: 0.131
Total DFT energy (no corrections) in eV per atom: -3.174

a b c (Å): 5.053 5.053 18.697
angles (deg): 90.00 90.00 90.00
Space group I-42d (No. 122)
Symmetry-distinct sites (fractional):
K: 0.000 0.000 0.000 (multiplicity 4)
Ag: 0.000 0.000 0.500 (multiplicity 4)
Ge: 0.004 0.250 0.625 (multiplicity 8)

---

A relaxed VBi2Mo2 crystal. Source: the Alexandria database, functional PBE.

Properties
Density of states at the Fermi level in states/eV per cell: 11.1
DFT formation energy in meV/atom: 761
E above lowest polymorph in eV per atom: 0.000
Total DFT energy (no corrections) in eV per atom: -6.948

a b c (Å): 3.660 3.660 16.851
angles (deg): 90.00 90.00 90.00
Space group I4/mmm (No. 139)
Symmetry-distinct sites (fractional):
V: 0.000 0.000 0.000 (multiplicity 2)
Bi: 0.000 0.000 0.392 (multiplicity 4)
Mo: 0.000 0.500 0.250 (multiplicity 4)

---

A relaxed K5Si2S6 crystal. Source: the Alexandria database, functional PBE.

Properties
Density of states at the Fermi level in states/eV per cell: 19.8
Energy relative to the elements, uncorrected in eV per atom: -1.02
Total DFT energy (no corrections) in eV per atom: -4.179

a b c (Å): 12.467 7.985 16.561
angles (deg): 90.00 101.56 90.00
Space group C2/c (No. 15)
Symmetry-distinct sites (fractional):
K: 0.000 0.137 0.250 (multiplicity 4)
K: 0.049 0.235 0.999 (multiplicity 8)
K: 0.158 0.404 0.724 (multiplicity 8)
Si: 0.225 0.365 0.427 (multiplicity 8)
S: 0.067 0.458 0.376 (multiplicity 8)
S: 0.152 0.049 0.637 (multiplicity 8)
S: 0.220 0.084 0.435 (multiplicity 8)

---

A relaxed Ru3Rh crystal. Source: the Alexandria database, functional PBE.

Properties
Density of states at the Fermi level in states/eV per cell: 18.1
DFT formation energy in meV/atom: 56
Total DFT energy (no corrections) in eV per atom: -8.738

a b c (Å): 4.707 8.763 5.423
angles (deg): 90.00 90.00 90.00
Space group Pnma (No. 62)
Symmetry-distinct sites (fractional):
Ru: 0.083 0.250 0.126 (multiplicity 4)
Ru: 0.248 0.502 0.875 (multiplicity 8)
Rh: 0.083 0.250 0.624 (multiplicity 4)

---

A relaxed La6Tb5Nd2 crystal. Source: the Alexandria database, functional PBE.

Properties
Density of states at the Fermi level in states/eV per cell: 37.3
DFT formation energy in meV/atom: 106
Total DFT energy (no corrections) in eV per atom: -4.682

a b c (Å): 11.997 20.883 3.678
angles (deg): 90.00 90.00 90.00
Space group Pbam (No. 55)
Symmetry-distinct sites (fractional):
La: 0.055 0.078 0.000 (multiplicity 4)
La: 0.078 0.365 0.000 (multiplicity 4)
La: 0.180 0.628 0.500 (multiplicity 4)
Tb: 0.000 0.500 0.500 (multiplicity 2)
Tb: 0.094 0.224 0.500 (multiplicity 4)
Tb: 0.203 0.943 0.500 (multiplicity 4)
Nd: 0.166 0.785 0.000 (multiplicity 4)

---

A relaxed SbC2Br crystal. Source: the Alexandria database, functional PBE.

Properties
Density of states at the Fermi level in states/eV per cell: 9.7
Energy relative to the elements, uncorrected in eV per atom: 2.66
E above lowest polymorph in eV per atom: 0.606
Total DFT energy (no corrections) in eV per atom: -3.397

a b c (Å): 6.238 6.238 6.238
angles (deg): 90.00 90.00 90.00
Space group Fm-3m (No. 225)
Symmetry-distinct sites (fractional):
Sb: 0.000 0.000 0.000 (multiplicity 4)
C: 0.250 0.250 0.250 (multiplicity 8)
Br: 0.000 0.000 0.500 (multiplicity 4)

---

A relaxed CrTeWN2 crystal. Source: the Alexandria database, functional PBE.

Properties
Density of states at the Fermi level in states/eV per cell: 2.6
Energy relative to the elements, uncorrected in eV per atom: 0.50
E above lowest polymorph in eV per atom: 0.000
Total DFT energy (no corrections) in eV per atom: -7.978

a b c (Å): 3.931 3.931 5.793
angles (deg): 90.00 90.00 90.00
Space group P4/mmm (No. 123)
Symmetry-distinct sites (fractional):
Cr: 0.000 0.000 0.000 (multiplicity 1)
Te: 0.500 0.500 0.000 (multiplicity 1)
W: 0.500 0.500 0.500 (multiplicity 1)
N: 0.000 0.500 0.500 (multiplicity 2)

---

A relaxed Ho4Mg2Tl crystal. Source: the Alexandria database, functional PBE.

Properties
Density of states at the Fermi level in states/eV per cell: 29.3
DFT formation energy in meV/atom: 52
E above lowest polymorph in eV per atom: 0.000
Total DFT energy (no corrections) in eV per atom: -3.357

a b c (Å): 5.2616 5.2616 25.3592
angles (deg): 90.00 90.00 120.00
Space group R-3m (No. 166, hexagonal axes)
Symmetry-distinct sites (fractional):
Ho: 0.0000 0.0000 0.1154 (multiplicity 6)
Ho: 0.0000 0.0000 0.3700 (multiplicity 6)
Mg: 0.0000 0.0000 0.2455 (multiplicity 6)
Tl: 0.0000 0.0000 0.5000 (multiplicity 3)

---

A relaxed HfZrCl crystal. Source: the Alexandria database, functional PBE.

Properties
Density of states at the Fermi level in states/eV per cell: 6.5
Energy relative to the elements, uncorrected in eV per atom: -0.46
Total DFT energy (no corrections) in eV per atom: -7.239

a b c (Å): 3.2657 3.2657 15.5915
angles (deg): 90.00 90.00 120.00
Space group P3m1 (No. 156)
Symmetry-distinct sites (fractional):
Hf: 0.0000 0.0000 0.0000 (multiplicity 1)
Hf: 0.0000 0.0000 0.3125 (multiplicity 1)
Zr: 0.0000 0.0000 0.6556 (multiplicity 1)
Zr: 0.6667 0.3333 0.1562 (multiplicity 1)
Cl: 0.6667 0.3333 0.5400 (multiplicity 1)
Cl: 0.6667 0.3333 0.7711 (multiplicity 1)

---

A relaxed TeMoC3 crystal. Source: the Alexandria database, functional PBE.

Properties
Density of states at the Fermi level in states/eV per cell: 3.1
Energy relative to the elements, uncorrected in eV per atom: 2.09
E above lowest polymorph in eV per atom: 0.000
Total DFT energy (no corrections) in eV per atom: -6.238

a b c (Å): 4.171 4.171 4.171
angles (deg): 90.00 90.00 90.00
Space group Pm-3m (No. 221)
Symmetry-distinct sites (fractional):
Te: 0.000 0.000 0.000 (multiplicity 1)
Mo: 0.500 0.500 0.500 (multiplicity 1)
C: 0.000 0.500 0.500 (multiplicity 3)